Record 1
Entry from OQMD: crystalline Pr2TmTl2Zn3Cd at its relaxed geometry (PBE).

Electronic total energy = -26.1 eV/cell
Magnetic moment = 0.02 μB/f.u.

abc: 4.6210 7.3287 7.3287
angles: 118.65 90.00 90.00
Fractional coordinates of all 9 atoms:
Tl 0.5000 0.6573 0.3361
Zn 0.5000 0.9989 0.2309
Tm 0.0000 0.4207 0.4207
Zn 0.5000 0.2309 0.9989
Tl 0.5000 0.3361 0.6573
Cd 0.0000 0.0139 0.0139
Pr 0.0000 0.5749 0.9952
Zn 0.5000 0.7722 0.7722
Pr 0.0000 0.9952 0.5749

=====

Record 2
Entry from OQMD: crystalline PrYTl2Cd2 at its relaxed geometry (PBE).

Electronic total energy = -19.9 eV/cell
Magnetic moment = 0.01 μB/f.u.

abc: 4.9340 4.9340 7.6279
angles: 90.00 90.00 120.00
Fractional coordinates of all 6 atoms:
Tl 0.3333 0.6667 0.4526
Y 0.0000 0.0000 0.2503
Pr 0.0000 0.0000 0.7510
Tl 0.6667 0.3333 0.9647
Cd 0.3333 0.6667 0.0473
Cd 0.6667 0.3333 0.5341

=====

Record 3
Entry from OQMD: crystalline Pr2YTl2Cd4 at its relaxed geometry (PBE).

Electronic total energy = -27.7 eV/cell
Magnetic moment = 0.01 μB/f.u.

abc: 4.6628 7.6583 7.6583
angles: 119.23 90.00 90.00
Fractional coordinates of all 9 atoms:
Cd 0.0000 0.0076 0.0076
Cd 0.5000 0.2389 0.9996
Cd 0.5000 0.9996 0.2389
Pr 0.0000 0.9976 0.5756
Tl 0.5000 0.6613 0.3350
Tl 0.5000 0.3350 0.6613
Y 0.0000 0.4212 0.4212
Cd 0.5000 0.7634 0.7634
Pr 0.0000 0.5756 0.9976

=====

Record 4
Entry from OQMD: crystalline PrUCd at its relaxed geometry (PBE).

Magnetic moment = 3.21 μB/f.u.
Energy above the lowest structure with this stoichiometry = 0.00 eV per formula unit

abc: 5.0739 5.0739 5.0739
angles: 60.00 60.00 60.00
Site moments in Bohr magnetons follow the coordinates.
Fractional coordinates of all 3 atoms:
Cd 0.0000 0.0000 0.0000  -0.01
U 0.2500 0.2500 0.2500  2.65
Pr 0.5000 0.5000 0.5000  0.30

=====

Record 5
Entry from OQMD: crystalline PrYCd4 at its relaxed geometry (PBE).

Electronic total energy = -16.9 eV/cell
Magnetic moment = 0.02 μB/f.u.

abc: 3.4073 4.9964 8.6734
angles: 90.00 90.01 90.00
Fractional coordinates of all 6 atoms:
Cd 0.5038 0.0000 0.3382
Cd 0.5036 0.5000 0.8282
Cd 0.4962 0.0000 0.6618
Pr 0.0000 0.0000 0.0000
Y 0.0000 0.5000 0.5000
Cd 0.4964 0.5000 0.1718

=====

Record 6
Entry from OQMD: crystalline Pr2ZnCd at its relaxed geometry (PBE).

Electronic total energy = -13.0 eV/cell
Magnetic moment = 0.00 μB/f.u.

abc: 3.7591 3.7591 7.6746
angles: 90.00 90.00 90.00
Fractional coordinates of all 4 atoms:
Cd 0.0000 0.0000 0.5000
Pr 0.5000 0.5000 0.7693
Pr 0.5000 0.5000 0.2307
Zn 0.0000 0.0000 0.0000

=====

Record 7
Entry from OQMD: crystalline PrZn2Cd2 at its relaxed geometry (PBE).

Electronic total energy = -10.5 eV/cell
Magnetic moment = 0.00 μB/f.u.

abc: 6.5144 6.5144 6.5144
angles: 140.94 140.94 56.42
Fractional coordinates of all 5 atoms:
Zn 0.6052 0.6052 0.0000
Pr 0.0000 0.0000 0.0000
Cd 0.2500 0.7500 0.5000
Cd 0.7500 0.2500 0.5000
Zn 0.3948 0.3948 0.0000

=====

Record 8
Entry from OQMD: crystalline PrZrCd at its relaxed geometry (PBE).

Magnetic moment = 1.31 μB/f.u.
Energy above the lowest structure with this stoichiometry = 0.68 eV per formula unit

abc: 5.0830 5.0830 5.0830
angles: 60.00 60.00 60.00
Fractional coordinates of all 3 atoms:
Zr 0.7500 0.7500 0.7500
Pr 0.0000 0.0000 0.0000
Cd 0.2500 0.2500 0.2500

=====

Which value of magnetic moment does entry 8 give? 1.31 μB/f.u.

=====

Look up the magnetic moment of the second one. 0.01 μB/f.u.